Entry 1:
Entry from Alexandria via LeMat-Bulk: a relaxed structure of Sr2LaRh (PBE).

Cell and atoms, written as POSCAR:
```
Sr2LaRh
1.0
3.9368 0.0000 0.0000
0.0000 4.2507 0.0001
0.0000 2.1212 9.0916
Sr Rh La
2 1 1
Direct
0.0000 0.8415 0.9431 Sr
0.5000 0.1619 0.3018 Sr
0.5000 0.9875 0.6487 Rh
0.0000 0.5091 0.6064 La
```



Entry 2:
Entry from Alexandria via LeMat-Bulk: a relaxed structure of SrLaRh2 (PBE).

Cell and atoms, written as POSCAR:
```
SrLaRh2
1.0
-0.9007 -2.5975 2.7413
3.5407 0.3968 1.5425
-2.3258 5.0654 4.0354
La Rh Sr
1 2 1
Direct
0.5000 0.5000 0.8642 La
0.0000 0.0000 0.9854 Rh
0.5000 0.5000 0.2234 Rh
0.0000 0.0000 0.4270 Sr
```



Entry 3:
Entry from Alexandria via LeMat-Bulk: a relaxed structure of SrLa2Rh (PBE).

Cell and atoms, written as POSCAR:
```
SrLa2Rh
1.0
3.7088 -0.0112 0.0000
0.0166 3.7087 0.0000
0.0000 0.0000 9.4545
La Rh Sr
2 1 1
Direct
0.0000 0.0000 0.0282 La
0.5000 0.5000 0.3240 La
0.0000 0.0000 0.4595 Rh
0.5000 0.5000 0.6882 Sr
```



Entry 4:
Entry from Alexandria via LeMat-Bulk: a relaxed structure of Sr3LaRh (PBE).

Cell and atoms, written as POSCAR:
```
Sr3LaRh
1.0
-1.6864 -5.0879 2.3922
0.7714 -2.6832 -5.1632
5.5691 -1.1690 1.4396
Sr Rh La
3 1 1
Direct
0.0000 0.5000 0.0000 Sr
0.0000 0.0000 0.5000 Sr
0.5000 0.0000 0.0000 Sr
0.0000 0.0000 0.0000 Rh
0.5000 0.5000 0.5000 La
```



Entry 5:
Entry from Alexandria via LeMat-Bulk: a relaxed structure of Sr2LaRh (PBE).

Cell and atoms, written as POSCAR:
```
Sr2LaRh
1.0
-1.6265 -9.4895 5.5387
4.8128 -5.6486 -8.2646
3.9952 -7.2798 -0.1619
Sr Rh La
4 2 2
Direct
0.4866 0.1250 0.2500 Sr
0.2634 0.6250 0.2500 Sr
0.3750 0.5134 0.7500 Sr
0.8750 0.7366 0.7500 Sr
0.5000 0.5000 0.0000 Rh
0.2500 0.7500 0.5000 Rh
0.0000 0.0000 0.0000 La
0.7500 0.2500 0.5000 La
```



Entry 6:
Entry from Alexandria via LeMat-Bulk: a relaxed structure of Sr2LaRh (PBE).

Cell and atoms, written as POSCAR:
```
Sr2LaRh
1.0
-3.2196 -0.6093 -2.6515
-0.4691 -3.7187 -1.9283
-7.1280 -4.8177 6.3953
Sr Rh La
2 1 1
Direct
0.9705 0.9705 0.0885 Sr
0.7541 0.7541 0.7401 Sr
0.2426 0.2426 0.2711 Rh
0.5328 0.5328 0.4003 La
```



Entry 7:
Entry from Alexandria via LeMat-Bulk: a relaxed structure of SrLa2Rh (PBE).

Cell and atoms, written as POSCAR:
```
SrLa2Rh
1.0
-0.0287 -5.7051 -3.1647
4.5548 -1.4244 -4.4486
-0.4273 2.2858 6.0957
La Rh Sr
2 1 1
Direct
0.0000 0.0000 0.0000 La
0.2500 0.7500 0.5000 La
0.5000 0.5000 0.0000 Rh
0.7500 0.2500 0.5000 Sr
```



Entry 8:
Entry from Alexandria via LeMat-Bulk: a relaxed structure of Sr4LaRh (PBE).

Cell and atoms, written as POSCAR:
```
Sr4LaRh
1.0
0.0000 4.9914 4.9914
4.9914 0.0000 4.9914
4.9914 4.9914 0.0000
Sr La Rh
4 1 1
Direct
0.8757 0.3748 0.3748 Sr
0.3748 0.3748 0.8757 Sr
0.3748 0.8757 0.3748 Sr
0.3748 0.3748 0.3748 Sr
0.7500 0.7500 0.7500 La
0.0000 0.0000 0.0000 Rh
```



Number 1: density of states at the Fermi level 3.0 states/eV/f.u., V 38.0 Å³/atom, ΔH_f (0 K) -0.31 eV/atom. Number 2: density of states at the Fermi level 3.3 states/eV/f.u., V 25.9 Å³/atom, ΔH_f (0 K) -0.20 eV/atom. Number 3: density of states at the Fermi level 3.2 states/eV/f.u., V 32.5 Å³/atom, ΔH_f (0 K) -0.23 eV/atom. Number 4: density of states at the Fermi level 2.9 states/eV/f.u., V 40.4 Å³/atom, ΔH_f (0 K) 0.04 eV/atom. Number 5: density of states at the Fermi level 3.7 states/eV/f.u., V 41.7 Å³/atom, ΔH_f (0 K) -0.07 eV/atom. Number 6: density of states at the Fermi level 2.3 states/eV/f.u., V 40.1 Å³/atom, ΔH_f (0 K) -0.32 eV/atom. Number 7: density of states at the Fermi level 3.6 states/eV/f.u., V 29.1 Å³/atom, ΔH_f (0 K) 0.07 eV/atom. Number 8: density of states at the Fermi level 8.5 states/eV/f.u., V 41.5 Å³/atom, ΔH_f (0 K) 0.77 eV/atom.